ZnCoF4 | PBE+U | relaxed

Values from the calculation:
The excess energy over the best structure of this formula in the dataset is 54 kJ/mol of formula units. The symmetry is C2/c. Its crystal system is monoclinic. For the total magnetization, the calculation gives 6.00 μB/cell. The value obtained for the energy is -53.31 eV/cell. The volume is 11.02 A^3/atom.

a b c (Å): 6.2069 6.2069 5.1211
angles (deg): 66.38 66.38 48.25
With the nearest neighbours (Å) after each atom.
Atoms (fractional coordinates):
Zn 0.2462 0.7538 0.7500  4 F 2.02-2.03
Zn 0.7538 0.2462 0.2500  4 F 2.02-2.03
F 0.6005 0.6551 0.8286  1 Zn 2.02, 2 Co 2.16-2.24
F 0.3449 0.3995 0.6714  1 Zn 2.02, 2 Co 2.16-2.24
F 0.8459 0.8999 0.5894  1 Zn 2.03, 2 Co 2.16-2.25
F 0.3995 0.3449 0.1714  1 Zn 2.02, 2 Co 2.16-2.24
F 0.6551 0.6005 0.3286  1 Zn 2.02, 2 Co 2.16-2.24
F 0.1001 0.1541 0.9106  1 Zn 2.03, 2 Co 2.16-2.25
F 0.1541 0.1001 0.4106  1 Zn 2.03, 2 Co 2.16-2.25
F 0.8999 0.8459 0.0894  1 Zn 2.03, 2 Co 2.16-2.25
Co 0.0000 0.5000 0.5000  8 F 2.16-2.25
Co 0.5000 0.0000 0.0000  8 F 2.16-2.25